The following is a DFT calculation (GGA+U) of a relaxed MgMoWO6 crystal.

Calculated values
The calculated total energy comes out at -127.98 eV/cell. The calculated volume comes out at 207.1 Å³/cell.

Unit cell a=5.1248 b=5.1248 c=9.1042 alpha=90.00 beta=90.00 gamma=120.00
Space group P-31c (No. 163)
Asymmetric unit:
1 Mg 0.3333 0.6667 0.2500 x2
2 Mo 0.0000 0.0000 0.0000 x2
3 W 0.3333 0.6667 0.7500 x2
4 O 0.0222 0.3443 0.6311 x12